A geometry-optimized TiPbF2 structure, computed with PBE.

It has space group I-42d (No. 122), with a = 4.695 Å, b = 4.695 Å, c = 12.943 Å, α = 90.00°, β = 90.00° and γ = 90.00°. The distinct sites, in fractional coordinates, are Ti at (0.000, 0.000, 0.000), Pb at (0.000, 0.000, 0.500) and F at (0.054, 0.250, 0.125).

The formation energy without anion corrections comes out at -1.6587 eV per atom. The density of states at the Fermi level is 1.39 states/eV/f.u. The energy above the most stable polymorph in this dataset is 202 meV per atom.